Record 1
This record from Alexandria describes a relaxed structure of Sc2AlZn. The functional is PBE.

Lattice parameters (Å, degrees): 6.7715 6.7715 6.7715 90.00 90.00 90.00
With the nearest neighbours (Å) after each atom.
Fractional positions:
Sc 0.0000 0.0000 0.0000  4 Sc 2.93, 4 Zn 2.93
Sc 0.0000 0.5000 0.5000  4 Zn 2.93, 4 Sc 2.93
Sc 0.2500 0.2500 0.2500  4 Sc 2.93, 4 Al 2.93
Sc 0.2500 0.7500 0.7500  4 Sc 2.93, 4 Al 2.93
Sc 0.5000 0.0000 0.5000  4 Zn 2.93, 4 Sc 2.93
Sc 0.5000 0.5000 0.0000  4 Zn 2.93, 4 Sc 2.93
Sc 0.7500 0.2500 0.7500  4 Sc 2.93, 4 Al 2.93
Sc 0.7500 0.7500 0.2500  4 Sc 2.93, 4 Al 2.93
Al 0.0000 0.0000 0.5000  4 Sc 2.93, 4 Zn 2.93
Al 0.0000 0.5000 0.0000  4 Sc 2.93, 4 Zn 2.93
Al 0.5000 0.0000 0.0000  4 Sc 2.93, 4 Zn 2.93
Al 0.5000 0.5000 0.5000  4 Sc 2.93, 4 Zn 2.93
Zn 0.2500 0.2500 0.7500  4 Sc 2.93, 4 Al 2.93
Zn 0.2500 0.7500 0.2500  4 Sc 2.93, 4 Al 2.93
Zn 0.7500 0.2500 0.2500  4 Sc 2.93, 4 Al 2.93
Zn 0.7500 0.7500 0.7500  4 Sc 2.93, 4 Al 2.93

Computed properties:
energy above the lowest structure with this stoichiometry	414	meV/atom
density	3.90	Mg/m³

=====

Record 2
This record from Alexandria describes a relaxed structure of ScAl3Zn4. The functional is PBE.

Lattice parameters (Å, degrees): 2.9914 6.6872 13.9774 90.00 90.00 90.00
With the nearest neighbours (Å) after each atom.
Fractional positions:
Sc 0.0000 0.0000 0.0000  4 Zn 2.90, 2 Sc 2.99, 4 Al 3.02
Sc 0.5000 0.5000 0.5000  4 Zn 2.90, 2 Sc 2.99, 4 Al 3.02
Al 0.0000 0.0000 0.5000  8 Zn 2.80, 2 Al 2.99
Al 0.0000 0.5000 0.3122  6 Zn 2.65-2.66
Al 0.0000 0.5000 0.6878  6 Zn 2.65-2.66
Al 0.5000 0.0000 0.1878  6 Zn 2.65-2.66
Al 0.5000 0.0000 0.8122  6 Zn 2.65-2.66
Al 0.5000 0.5000 0.0000  8 Zn 2.80, 2 Al 2.99
Zn 0.0000 0.3131 0.1439  1 Zn 2.50, 3 Al 2.65-2.66
Zn 0.0000 0.3131 0.8561  1 Zn 2.50, 3 Al 2.65-2.66
Zn 0.0000 0.6869 0.1439  1 Zn 2.50, 3 Al 2.65-2.66
Zn 0.0000 0.6869 0.8561  1 Zn 2.50, 3 Al 2.65-2.66
Zn 0.5000 0.1869 0.3561  1 Zn 2.50, 3 Al 2.65-2.66
Zn 0.5000 0.1869 0.6439  1 Zn 2.50, 3 Al 2.65-2.66
Zn 0.5000 0.8131 0.3561  1 Zn 2.50, 3 Al 2.65-2.66
Zn 0.5000 0.8131 0.6439  1 Zn 2.50, 3 Al 2.65-2.66

Computed properties:
density	4.60	Mg/m³

=====

Record 3
This record from Alexandria describes a relaxed structure of Sc3AlZn. The functional is PBE.

Lattice parameters (Å, degrees): 4.9920 4.9920 4.9920 90.00 90.00 90.00
With the nearest neighbours (Å) after each atom.
Fractional positions:
Sc 0.0000 0.0000 0.5000  2 Zn 2.50
Sc 0.0000 0.5000 0.0000  2 Zn 2.50
Sc 0.5000 0.0000 0.0000  2 Zn 2.50
Al 0.5000 0.5000 0.5000  12 Sc 3.53
Zn 0.0000 0.0000 0.0000  6 Sc 2.50

Computed properties:
energy above the lowest structure with this stoichiometry	557	meV/atom
density	3.03	Mg/m³

=====

Record 4
This record from Alexandria describes a relaxed structure of Sc2Al2Zn. The functional is PBE.

Lattice parameters (Å, degrees): 6.6089 6.6089 4.4138 90.00 90.00 90.00
With the nearest neighbours (Å) after each atom.
Fractional positions:
Sc 0.1666 0.3334 0.0000  6 Al 2.86-2.99, 1 Sc 3.11
Sc 0.3334 0.8334 0.0000  6 Al 2.86-2.99, 1 Sc 3.11
Sc 0.6666 0.1666 0.0000  6 Al 2.86-2.99, 1 Sc 3.11
Sc 0.8334 0.6666 0.0000  6 Al 2.86-2.99, 1 Sc 3.11
Al 0.1380 0.6380 0.5000  2 Zn 2.56, 1 Al 2.58, 2 Sc 2.86
Al 0.3620 0.1380 0.5000  2 Zn 2.56, 1 Al 2.58, 2 Sc 2.86
Al 0.6380 0.8620 0.5000  2 Zn 2.56, 1 Al 2.58, 2 Sc 2.86
Al 0.8620 0.3620 0.5000  2 Zn 2.56, 1 Al 2.58, 2 Sc 2.86
Zn 0.0000 0.0000 0.5000  4 Al 2.56
Zn 0.5000 0.5000 0.5000  4 Al 2.56

Computed properties:
energy above the lowest structure with this stoichiometry	9	meV/atom
density	3.61	Mg/m³

=====

Record 5
This record from Alexandria describes a relaxed structure of Sc5Al4Zn. The functional is PBE.

Lattice parameters (Å, degrees): 3.3561 3.3561 17.0408 90.00 90.00 90.00
With the nearest neighbours (Å) after each atom.
Fractional positions:
Sc 0.0000 0.0000 0.0000  8 Al 2.92
Sc 0.0000 0.0000 0.2009  8 Al 2.93-2.94
Sc 0.0000 0.0000 0.4038  4 Zn 2.88, 4 Al 2.93
Sc 0.0000 0.0000 0.5962  4 Zn 2.88, 4 Al 2.93
Sc 0.0000 0.0000 0.7991  8 Al 2.93-2.94
Al 0.5000 0.5000 0.1003  8 Sc 2.92-2.93
Al 0.5000 0.5000 0.3024  8 Sc 2.93-2.94
Al 0.5000 0.5000 0.6976  8 Sc 2.93-2.94
Al 0.5000 0.5000 0.8997  8 Sc 2.92-2.93
Zn 0.5000 0.5000 0.5000  8 Sc 2.88

Computed properties:
density	3.44	Mg/m³

=====

Record 6
This record from Alexandria describes a relaxed structure of Sc3Al2Zn. The functional is PBE.

Lattice parameters (Å, degrees): 3.3334 3.3334 10.3387 90.00 90.00 90.00
With the nearest neighbours (Å) after each atom.
Fractional positions:
Sc 0.0000 0.0000 0.0000  8 Al 2.95
Sc 0.0000 0.0000 0.3401  4 Zn 2.88, 4 Al 2.94
Sc 0.0000 0.0000 0.6599  4 Zn 2.88, 4 Al 2.94
Al 0.5000 0.5000 0.1708  8 Sc 2.94-2.95
Al 0.5000 0.5000 0.8292  8 Sc 2.94-2.95
Zn 0.5000 0.5000 0.5000  8 Sc 2.88

Computed properties:
density	3.68	Mg/m³

=====

Record 7
This record from Alexandria describes a relaxed structure of Sc3AlZn. The functional is PBE.

Lattice parameters (Å, degrees): 7.3483 7.3483 4.7267 90.00 90.00 120.00
With the nearest neighbours (Å) after each atom.
Fractional positions:
Sc 0.1946 0.3891 0.2500  2 Zn 2.74, 2 Al 2.95, 2 Sc 3.06
Sc 0.1946 0.8054 0.2500  2 Zn 2.74, 2 Al 2.95, 2 Sc 3.06
Sc 0.3891 0.1946 0.7500  2 Zn 2.74, 2 Al 2.95, 2 Sc 3.06
Sc 0.6109 0.8054 0.2500  2 Zn 2.74, 2 Al 2.95, 2 Sc 3.06
Sc 0.8054 0.1946 0.7500  2 Zn 2.74, 2 Al 2.95, 2 Sc 3.06
Sc 0.8054 0.6109 0.7500  2 Zn 2.74, 2 Al 2.95, 2 Sc 3.06
Al 0.3333 0.6667 0.7500  6 Sc 2.95
Al 0.6667 0.3333 0.2500  6 Sc 2.95
Zn 0.0000 0.0000 0.0000  2 Zn 2.36
Zn 0.0000 0.0000 0.5000  2 Zn 2.36

Computed properties:
energy above the lowest structure with this stoichiometry	210	meV/atom
density	3.41	Mg/m³

=====

Record 8
This record from Alexandria describes a relaxed structure of Sc4Al5Zn2. The functional is PBE.

Lattice parameters (Å, degrees): 7.1047 3.1332 9.2406 90.00 94.02 90.00
With the nearest neighbours (Å) after each atom.
Fractional positions:
Sc 0.1657 0.0000 0.3878  2 Zn 2.88, 8 Al 2.97-3.06, 2 Sc 3.13
Sc 0.2819 0.0000 0.9428  4 Zn 2.91-2.92, 6 Al 2.97-3.02, 3 Sc 3.13-3.20
Sc 0.7181 0.0000 0.0572  4 Zn 2.91-2.92, 6 Al 2.97-3.02, 3 Sc 3.13-3.20
Sc 0.8343 0.0000 0.6122  2 Zn 2.88, 8 Al 2.97-3.06, 2 Sc 3.13
Al 0.1951 0.5000 0.6677  1 Zn 2.66, 2 Al 2.75-2.82
Al 0.4330 0.5000 0.2050  1 Zn 2.70, 2 Al 2.73-2.82, 4 Sc 2.97-3.02
Al 0.5000 0.5000 0.5000  4 Al 2.73-2.75, 4 Sc 2.97
Al 0.5670 0.5000 0.7950  1 Zn 2.70, 2 Al 2.73-2.82, 4 Sc 2.97-3.02
Al 0.8049 0.5000 0.3323  1 Zn 2.66, 2 Al 2.75-2.82
Zn 0.0580 0.5000 0.1336  1 Zn 2.55, 2 Al 2.66-2.70
Zn 0.9420 0.5000 0.8664  1 Zn 2.55, 2 Al 2.66-2.70

Computed properties:
density	3.61	Mg/m³

=====

Record 9
This record from Alexandria describes a relaxed structure of ScAlZn. The functional is PBE.

Lattice parameters (Å, degrees): 4.6465 4.6465 5.6527 90.00 90.00 120.00
With the nearest neighbours (Å) after each atom.
Fractional positions:
Sc 0.0000 0.0000 0.0000  3 Al 2.69, 5 Zn 2.79-2.98
Sc 0.3333 0.6667 0.5380  6 Zn 2.69-2.99, 2 Al 2.80-2.85
Al 0.3333 0.6667 0.0428  5 Sc 2.69-2.85, 3 Al 2.99
Al 0.6667 0.3333 0.2756  5 Zn 2.79-2.95, 3 Al 2.99, 6 Sc 3.07-3.10
Zn 0.0000 0.0000 0.4929  5 Sc 2.69-2.87, 3 Al 2.95
Zn 0.6667 0.3333 0.7700  5 Al 2.79-3.09, 6 Sc 2.98-2.99, 3 Zn 3.11

Computed properties:
density	4.31	Mg/m³

=====

Record 10
This record from Alexandria describes a relaxed structure of Sc2AlZn4. The functional is PBE.

Lattice parameters (Å, degrees): 4.5788 4.5788 14.2476 90.00 90.00 90.00
With the nearest neighbours (Å) after each atom.
Fractional positions:
Sc 0.0000 0.0000 0.1248  5 Zn 2.76-2.90
Sc 0.0000 0.0000 0.8752  5 Zn 2.76-2.90
Sc 0.5000 0.5000 0.3752  5 Zn 2.76-2.90
Sc 0.5000 0.5000 0.6248  5 Zn 2.76-2.90
Al 0.0000 0.0000 0.5000  4 Zn 2.29
Al 0.5000 0.5000 0.0000  4 Zn 2.29
Zn 0.0000 0.0000 0.3187  1 Al 2.58, 1 Sc 2.76
Zn 0.0000 0.0000 0.6813  1 Al 2.58, 1 Sc 2.76
Zn 0.0000 0.5000 0.0000  2 Al 2.29
Zn 0.0000 0.5000 0.5000  2 Al 2.29
Zn 0.5000 0.0000 0.0000  2 Al 2.29
Zn 0.5000 0.0000 0.5000  2 Al 2.29
Zn 0.5000 0.5000 0.1813  1 Al 2.58, 1 Sc 2.76
Zn 0.5000 0.5000 0.8187  1 Al 2.58, 1 Sc 2.76

Computed properties:
density	4.21	Mg/m³

=====

Record 11
This record from Alexandria describes a relaxed structure of Sc2AlZn. The functional is PBE.

Lattice parameters (Å, degrees): 10.9826 3.3104 4.7295 90.00 115.41 90.00
With the nearest neighbours (Å) after each atom.
Fractional positions:
Sc 0.0000 0.0000 0.0000  4 Al 2.92, 2 Zn 3.01, 2 Sc 3.16
Sc 0.2285 0.0000 0.7287  4 Zn 2.90, 2 Sc 3.16, 2 Al 3.17
Sc 0.5000 0.5000 0.0000  4 Al 2.92, 2 Zn 3.01, 2 Sc 3.16
Sc 0.7285 0.5000 0.7287  4 Zn 2.90, 2 Sc 3.16, 2 Al 3.17
Al 0.4561 0.0000 0.4562  2 Zn 2.61, 4 Sc 2.92
Al 0.9561 0.5000 0.4562  2 Zn 2.61, 4 Sc 2.92
Zn 0.2529 0.5000 0.2528  2 Al 2.61, 4 Sc 2.90
Zn 0.7529 0.0000 0.2528  2 Al 2.61, 4 Sc 2.90

Computed properties:
energy above the lowest structure with this stoichiometry	93	meV/atom
density	3.90	Mg/m³

=====

Record 12
This record from Alexandria describes a relaxed structure of ScAlZn. The functional is PBE.

Lattice parameters (Å, degrees): 4.0755 4.1041 12.8554 90.00 90.00 90.00
With the nearest neighbours (Å) after each atom.
Fractional positions:
Sc 0.0000 0.0000 0.0000  6 Zn 2.88-2.89, 4 Al 2.88-3.08, 2 Sc 3.13
Sc 0.0000 0.0000 0.3164  6 Al 2.87-2.89, 4 Zn 2.90-3.06, 2 Sc 3.13
Sc 0.0000 0.5000 0.5000  6 Zn 2.88-2.89, 4 Al 2.88-3.08, 2 Sc 3.13
Sc 0.0000 0.5000 0.8164  6 Al 2.87-2.89, 4 Zn 2.90-3.06, 2 Sc 3.13
Al 0.5000 0.0000 0.1587  4 Sc 2.87-2.88, 6 Zn 2.89-2.95, 2 Al 2.92
Al 0.5000 0.0000 0.8204  6 Sc 2.89-3.08, 2 Al 2.92, 4 Zn 2.93-3.03
Al 0.5000 0.5000 0.3204  6 Sc 2.89-3.08, 2 Al 2.92, 4 Zn 2.93-3.03
Al 0.5000 0.5000 0.6587  4 Sc 2.87-2.88, 6 Zn 2.89-2.95, 2 Al 2.92
Zn 0.0000 0.0000 0.6567  4 Sc 2.88-2.90, 6 Al 2.89-2.93, 2 Zn 2.92
Zn 0.0000 0.5000 0.1567  4 Sc 2.88-2.90, 6 Al 2.89-2.93, 2 Zn 2.92
Zn 0.5000 0.0000 0.4937  6 Sc 2.89-3.06, 2 Zn 2.92, 4 Al 2.95-3.03
Zn 0.5000 0.5000 0.9937  6 Sc 2.89-3.06, 2 Zn 2.92, 4 Al 2.95-3.03

Computed properties:
density	4.24	Mg/m³

=====

no.,calculated formation energy (meV per atom),total energy (eV per atom),spin magnetization (μB per cell)
1,-11,-4.4307,0.00
2,-11,-2.8433,0.02
3,235,-4.5668,0.00
4,-391,-4.6751,0.00
5,-439,-5.2295,0.00
6,-433,-5.0585,0.00
7,-112,-4.9138,0.00
8,-384,-4.6188,0.00
9,-304,-4.0864,0.00
10,224,-2.8474,0.00
11,-332,-4.7520,0.00
12,-350,-4.1329,0.00